First-principles (PBE) data for crystalline Li3Tb2PmSe6 at its relaxed geometry, as listed in Alexandria.

Computed properties:
* SG: C2/m, No. 12
* formation energy (no corrections): -1.69 eV per atom

```
Li3Tb2PmSe6
1.0
7.1337 -0.0018 0.0016
-3.5667 6.1780 0.0016
-1.1885 -2.0578 6.5086
Pm Li Se Tb
1 3 6 2
Cartesian
0.0000 0.0000 0.0000 Pm
1.1893 2.0592 3.2559 Li
4.7468 0.0046 3.2559 Li
-2.3682 4.1138 3.2559 Li
2.4157 -0.0014 1.6609 Se
2.3583 4.0833 1.6695 Se
3.5870 2.0267 4.8509 Se
-0.0372 4.1198 4.8509 Se
0.0203 0.0351 4.8422 Se
-1.2085 2.0917 1.6609 Se
0.0007 4.1177 0.0016 Tb
3.5663 2.0584 0.0016 Tb
```

---

First-principles (PBE) data for crystalline LiPm2ThSe5 at its relaxed geometry, as listed in Alexandria.

Computed properties:
* SG: P2_1, No. 4
* formation energy (no corrections): -1.67 eV per atom

```
LiPm2ThSe5
1.0
-2.2440 -1.2391 -3.2247
4.0214 -7.5272 2.7261
-9.7407 -2.4134 7.7057
Se Th Li Pm
10 2 2 4
Cartesian
-8.1782 -5.7202 5.2582 Se
-3.8858 -1.3141 0.5779 Se
-1.4795 -5.8792 3.2891 Se
-4.7411 -10.0301 7.1542 Se
-4.8360 -6.3230 5.7954 Se
2.1005 -5.9056 0.8080 Se
-1.5401 -4.4635 0.1562 Se
-0.4440 -0.8814 0.6487 Se
-4.0426 -9.4370 3.8080 Se
-5.1956 -4.0681 2.5481 Se
-4.2487 -6.7909 2.9352 Th
1.1134 -3.1927 0.4526 Th
-1.8120 -9.1302 4.7686 Li
-10.5817 -3.1476 5.9434 Li
-6.6961 -8.6544 5.3547 Pm
-0.6877 -7.4241 0.7009 Pm
-2.1567 -2.7457 2.5561 Pm
-6.0582 -3.4539 5.5430 Pm
```

---

First-principles (PBE) data for crystalline LiPm3Th3Se8 at its relaxed geometry, as listed in Alexandria.

Computed properties:
* SG: R-3m, No. 166
* formation energy (no corrections): -1.69 eV per atom

```
LiPm3Th3Se8
1.0
8.3371 -0.0001 -0.0001
-4.1687 7.2199 -0.0246
0.0000 -4.7898 6.8378
Se Th Pm Li
8 3 3 1
Cartesian
4.1685 2.4586 1.7367 Se
4.1685 0.0175 5.1408 Se
-2.1239 3.6501 5.0642 Se
2.1238 3.6501 5.0642 Se
6.2924 -1.2202 1.7490 Se
0.0000 2.4124 1.6724 Se
0.0000 -0.0287 5.0765 Se
2.0447 -1.2202 1.7490 Se
-2.0843 1.2150 3.4066 Th
4.1686 -2.3950 3.4189 Th
2.0842 1.2150 3.4066 Th
2.0842 3.6099 -0.0123 Pm
-2.0843 3.6099 -0.0123 Pm
0.0000 0.0000 0.0000 Pm
0.0000 -2.3949 3.4189 Li
```

---

First-principles (PBE) data for crystalline LiPmTh2Se4 at its relaxed geometry, as listed in Alexandria.

Computed properties:
* SG: P2/m, No. 10
* formation energy (no corrections): -1.59 eV per atom

```
LiPmTh2Se4
1.0
4.0721 0.0000 0.0000
0.0000 7.0530 0.1385
0.0000 -2.4539 6.9887
Se Pm Th Li
4 1 2 1
Cartesian
2.0360 3.3527 5.4365 Se
0.0000 -0.0082 5.3945 Se
2.0360 1.2464 1.6908 Se
0.0000 4.6073 1.7328 Se
0.0000 0.0000 0.0000 Pm
2.0360 -1.2270 3.4944 Th
0.0000 2.2995 3.5636 Th
2.0360 3.5265 0.0693 Li
```

---

First-principles (PBE) data for crystalline LiPm3Th4Se8 at its relaxed geometry, as listed in Alexandria.

Computed properties:
* SG: R-3m, No. 166
* formation energy (no corrections): -1.64 eV per atom

```
LiPm3Th4Se8
1.0
8.2078 0.0000 0.0000
0.0000 8.4957 0.1960
-4.1039 -4.0986 5.8075
Se Li Th Pm
8 1 4 3
Cartesian
4.1039 4.2972 3.0330 Se
6.2307 2.2193 0.0635 Se
4.1039 0.0953 3.0725 Se
0.0000 4.3018 2.9311 Se
-2.1268 2.1778 5.9400 Se
2.1268 2.1778 5.9400 Se
1.9771 2.2193 0.0635 Se
0.0000 0.0999 2.9706 Se
0.0000 4.2479 0.0980 Li
0.0000 0.0000 0.0000 Th
4.1039 0.0000 0.0000 Th
2.0520 -2.0493 2.9038 Th
-2.0520 -2.0493 2.9038 Th
4.1039 4.2479 0.0980 Pm
-2.0520 2.1986 3.0018 Pm
2.0520 2.1986 3.0018 Pm
```

---

First-principles (PBE) data for crystalline Li3Pm2TiSe6 at its relaxed geometry, as listed in Alexandria.

Computed properties:
* SG: C2/m, No. 12
* formation energy (no corrections): -1.47 eV per atom

```
Li3Pm2TiSe6
1.0
6.9776 0.0079 0.0049
-3.4803 6.0477 0.0049
-1.1625 -2.0129 6.4794
Se Pm Li Ti
6 2 3 1
Cartesian
2.1486 0.0124 1.6490 Se
3.3978 2.1754 4.8401 Se
-1.0630 1.8672 1.6490 Se
0.1862 4.0302 4.8401 Se
2.4308 4.2089 1.5975 Se
-0.0960 -0.1663 4.8917 Se
-0.0123 4.0448 0.0049 Pm
3.5097 2.0108 0.0049 Pm
1.1674 2.0213 3.2446 Li
4.7002 -0.0190 3.2446 Li
-2.3654 4.0616 3.2446 Li
0.0000 0.0000 0.0000 Ti
```

---

First-principles (PBE) data for crystalline LiPm3Tm2Se6 at its relaxed geometry, as listed in Alexandria.

Computed properties:
* SG: C2/m, No. 12
* formation energy (no corrections): -1.76 eV per atom

```
LiPm3Tm2Se6
1.0
-5.3947 3.7478 -2.5356
-0.0243 -7.0221 -0.5180
-1.3072 0.6656 7.0322
Tm Pm Se Li
2 3 6 1
Cartesian
-1.8213 -3.4183 -1.1931 Tm
-3.5977 0.1441 -1.8605 Tm
-1.5679 -4.9044 2.6637 Pm
-3.3631 -1.3043 1.9893 Pm
-5.1583 2.2957 1.3149 Pm
-0.7259 -2.3994 1.2235 Se
-2.4868 1.1319 0.5619 Se
-6.0003 -0.2092 2.7551 Se
-2.3610 -0.3041 4.6614 Se
-4.3652 -2.3046 -0.6827 Se
-4.2394 -3.7406 3.4167 Se
0.0000 0.0000 0.0000 Li
```

---

First-principles (PBE) data for crystalline Li3Pm2TmSe6 at its relaxed geometry, as listed in Alexandria.

Computed properties:
* SG: C2/m, No. 12
* formation energy (no corrections): -1.68 eV per atom

```
Li3Pm2TmSe6
1.0
7.1482 -0.0015 0.0013
-3.5737 6.1908 0.0013
-1.1920 -2.0639 6.5111
Se Pm Li Tm
6 2 3 1
Cartesian
-1.1570 2.0040 1.6690 Se
2.3140 -0.0006 1.6690 Se
3.5395 2.1214 4.8447 Se
2.4167 4.1845 1.6562 Se
-0.0342 -0.0592 4.8575 Se
0.0685 4.1260 4.8447 Se
-0.0025 4.1283 0.0013 Pm
3.5770 2.0610 0.0013 Pm
4.7959 -0.0191 3.2569 Li
-2.4133 4.1445 3.2569 Li
1.1913 2.0627 3.2569 Li
0.0000 0.0000 0.0000 Tm
```

---

First-principles (PBE) data for crystalline Li3PmTm2Se6 at its relaxed geometry, as listed in Alexandria.

Computed properties:
* SG: C2/m, No. 12
* formation energy (no corrections): -1.68 eV per atom

```
Li3PmTm2Se6
1.0
-1.5598 -3.1956 6.0953
5.6144 -2.0747 -3.7378
2.3594 6.0336 2.4093
Tm Li Pm Se
2 3 1 6
Cartesian
0.8322 -2.8219 2.8168 Tm
3.2225 -2.4484 -0.4593 Tm
0.8268 0.0097 5.6458 Li
3.2070 0.3816 2.3834 Li
5.5873 0.7535 -0.8790 Li
0.0000 0.0000 0.0000 Pm
2.8087 3.1387 2.4071 Se
0.4006 -0.0157 2.8964 Se
6.0134 0.7789 1.8704 Se
3.5528 0.3945 5.2430 Se
3.6054 -2.3754 2.3597 Se
2.8613 0.3688 -0.4762 Se
```

---

First-principles (PBE) data for crystalline Li4PmTm3Se8 at its relaxed geometry, as listed in Alexandria.

Computed properties:
* SG: R-3m, No. 166
* formation energy (no corrections): -1.68 eV per atom

```
Li4PmTm3Se8
1.0
8.1204 0.0000 0.0000
0.0000 8.0150 -0.0837
-4.0602 -4.0567 5.7426
Li Se Pm Tm
4 8 1 3
Cartesian
-2.0301 -2.0284 2.8713 Li
0.0000 0.0000 0.0000 Li
4.0602 0.0000 0.0000 Li
2.0301 -2.0284 2.8713 Li
4.0602 -0.0065 2.7876 Se
-1.9781 1.9885 5.6693 Se
0.0000 -0.0192 2.8519 Se
1.9781 1.9885 5.6693 Se
4.0602 3.9775 2.8069 Se
2.0821 1.9698 -0.0105 Se
0.0000 3.9648 2.8713 Se
6.0383 1.9698 -0.0105 Se
0.0000 4.0075 -0.0419 Pm
4.0602 4.0075 -0.0419 Tm
-2.0301 1.9791 2.8294 Tm
2.0301 1.9791 2.8294 Tm
```

---

First-principles (PBE) data for crystalline Li2Pm3TmSe6 at its relaxed geometry, as listed in Alexandria.

Computed properties:
* SG: C2/m, No. 12
* formation energy (no corrections): -1.73 eV per atom

```
Li2Pm3TmSe6
1.0
7.0952 -0.0013 0.0015
-3.5470 6.1450 0.0015
-1.1821 -2.0469 6.6755
Se Pm Li Tm
6 3 2 1
Cartesian
3.5528 2.0380 5.1276 Se
-0.0103 4.0958 5.1276 Se
-1.1867 2.0589 1.5510 Se
2.3614 4.0887 1.5665 Se
2.3764 0.0011 1.5510 Se
0.0047 0.0082 5.1120 Se
4.7207 0.0053 3.3393 Pm
-2.3546 4.0916 3.3393 Pm
1.1831 2.0484 3.3393 Pm
3.5477 2.0476 0.0015 Li
0.0006 4.0962 0.0015 Li
0.0000 0.0000 0.0000 Tm
```

---

First-principles (PBE) data for crystalline LiPmTm4Se8 at its relaxed geometry, as listed in Alexandria.

Computed properties:
* SG: R3m, No. 160
* formation energy (no corrections): -1.70 eV per atom

```
LiPmTm4Se8
1.0
8.3765 0.0000 0.0000
4.1882 7.2542 0.0000
4.1882 2.4181 6.7390
Se Tm Pm Li
8 4 1 1
Cartesian
10.5943 6.1167 1.7721 Se
8.3765 2.2752 1.7721 Se
6.1586 6.1167 1.7721 Se
8.3765 7.5160 4.9964 Se
12.5647 7.2542 4.9280 Se
6.0557 3.4962 4.9964 Se
10.6973 3.4962 4.9964 Se
4.1882 2.4181 1.8175 Se
8.3765 4.8362 0.9476 Tm
2.1027 1.2140 3.3622 Tm
4.1882 4.8263 3.3622 Tm
6.2738 1.2140 3.3622 Tm
8.3765 4.8362 5.7053 Pm
12.5647 7.2542 0.0126 Li
```

---

First-principles (PBE) data for crystalline LiPmTm2Se4 at its relaxed geometry, as listed in Alexandria.

Computed properties:
* SG: P2/m, No. 10
* formation energy (no corrections): -1.72 eV per atom

```
LiPmTm2Se4
1.0
4.0364 0.0000 0.0000
0.0000 7.0427 0.1402
0.0000 -2.4446 6.6153
Se Pm Li Tm
4 1 1 2
Cartesian
0.0000 -0.0196 4.9730 Se
2.0182 1.2208 1.7402 Se
0.0000 4.6177 1.7825 Se
2.0182 3.3773 5.0152 Se
0.0000 0.0000 0.0000 Pm
2.0182 3.5213 0.0701 Li
2.0182 -1.2223 3.3076 Tm
0.0000 2.2990 3.3777 Tm
```

---

First-principles (PBE) data for crystalline LiPm3Tm3Se8 at its relaxed geometry, as listed in Alexandria.

Computed properties:
* SG: R-3m, No. 166
* formation energy (no corrections): -1.79 eV per atom

```
LiPm3Tm3Se8
1.0
-5.1565 -5.9400 2.0588
5.9476 2.1702 5.1018
-6.3248 5.0552 -1.2561
Pm Li Se Tm
3 1 8 3
Cartesian
2.9738 1.0851 2.5509 Pm
0.0000 0.0000 0.0000 Pm
0.3956 -1.8849 3.5803 Pm
-3.1624 2.5276 -0.6281 Li
-5.5803 0.3585 3.1136 Se
-2.6059 1.4558 5.6583 Se
-2.9996 3.3307 2.0967 Se
-5.4923 -3.1245 1.2700 Se
-2.5342 -2.0452 3.8078 Se
-2.9278 -0.1704 0.2461 Se
0.0466 0.9269 2.7909 Se
-0.0414 4.4100 4.6344 Se
-0.1886 3.6127 1.9228 Tm
-2.7669 0.6427 2.9522 Tm
-5.7407 -0.4424 0.4013 Tm
```

---

First-principles (PBE) data for crystalline LiPm4Tm3Se8 at its relaxed geometry, as listed in Alexandria.

Computed properties:
* SG: R-3m, No. 166
* formation energy (no corrections): -1.75 eV per atom

```
LiPm4Tm3Se8
1.0
8.1367 0.0000 0.0000
0.0000 8.2582 0.0793
-4.0684 -4.0639 5.7570
Li Pm Se Tm
1 4 8 3
Cartesian
0.0000 4.1291 0.0396 Li
4.0684 0.0000 0.0000 Pm
-2.0342 -2.0319 2.8785 Pm
2.0342 -2.0319 2.8785 Pm
0.0000 0.0000 0.0000 Pm
0.0000 4.0704 2.8316 Se
0.0000 0.1240 2.9628 Se
-2.0642 2.0084 5.7519 Se
6.1326 2.1859 0.0843 Se
4.0684 4.0704 2.8734 Se
4.0684 0.1240 3.0046 Se
2.0642 2.0084 5.7519 Se
2.0041 2.1859 0.0843 Se
2.0342 2.0972 2.9181 Tm
4.0684 4.1291 0.0396 Tm
-2.0342 2.0972 2.9181 Tm
```

---

First-principles (PBE) data for crystalline LiPm2USe5 at its relaxed geometry, as listed in Alexandria.

Computed properties:
* SG: Cmc2_1, No. 36
* formation energy (no corrections): -1.51 eV per atom

```
LiPm2USe5
1.0
-1.3947 3.6528 1.2835
-3.3946 -5.6870 5.8991
10.1483 1.3616 7.1523
U Se Li Pm
2 10 2 4
Cartesian
-1.5843 -1.5347 2.6463 U
1.9681 0.1945 8.1822 U
3.2724 1.4695 5.9710 Se
3.8392 -2.7904 12.1133 Se
7.1501 -1.4628 11.9325 Se
0.9576 -1.9232 6.5140 Se
4.3968 -1.3089 8.5026 Se
0.3275 -0.2736 1.1346 Se
1.3972 -0.8866 10.6389 Se
2.1447 2.2016 2.6619 Se
6.3128 1.5070 9.1679 Se
-0.7743 0.4032 4.6084 Se
9.0455 3.0107 7.8578 Li
0.8802 -3.0707 9.6956 Li
-2.0061 -0.9419 7.0982 Pm
6.0808 0.0970 6.3315 Pm
4.3383 0.0266 11.2356 Pm
1.9868 -0.5697 3.7801 Pm
```

---

First-principles (PBE) data for crystalline Li2Pm2USe6 at its relaxed geometry, as listed in Alexandria.

Computed properties:
* SG: C2/m, No. 12
* formation energy (no corrections): -1.50 eV per atom

```
Li2Pm2USe6
1.0
-2.7438 5.6429 3.6144
-4.3258 -5.4641 -1.9661
3.5127 -3.0496 5.0739
Se Li Pm U
6 2 2 1
Cartesian
0.6797 -4.0686 3.2919 Se
1.1985 -0.4262 5.1219 Se
-2.7687 -2.1508 5.0657 Se
-0.7882 -0.7200 1.6565 Se
-4.2366 1.1978 3.4304 Se
-4.7554 -2.4446 1.6003 Se
-3.0054 3.8063 2.6916 Li
-4.0642 -3.6275 -1.0433 Li
-1.5161 0.4062 4.2864 Pm
-2.0407 -3.2770 2.4359 Pm
1.7563 -1.5248 2.5370 U
```

---

First-principles (PBE) data for crystalline Li4Pm3USe8 at its relaxed geometry, as listed in Alexandria.

Computed properties:
* SG: R-3m, No. 166
* formation energy (no corrections): -1.54 eV per atom

```
Li4Pm3USe8
1.0
8.3006 0.0000 0.0000
0.0000 8.0972 -0.1531
-4.1503 -4.1447 5.8723
Pm Se Li U
3 8 4 1
Cartesian
-2.0752 1.9762 2.8596 Pm
4.1503 4.0486 -0.0765 Pm
2.0752 1.9762 2.8596 Pm
0.0000 -0.1024 2.8587 Se
4.1503 -0.1135 2.8952 Se
2.0437 6.1069 -0.0677 Se
0.0000 4.0660 2.8241 Se
2.1066 -2.1545 5.7869 Se
6.2569 6.1069 -0.0677 Se
4.1503 4.0548 2.8606 Se
-2.1066 -2.1545 5.7869 Se
0.0000 0.0000 0.0000 Li
-2.0752 -2.0724 2.9362 Li
4.1503 0.0000 0.0000 Li
2.0752 -2.0724 2.9362 Li
0.0000 4.0486 -0.0765 U
```

---

First-principles (PBE) data for crystalline Li4PmU3Se8 at its relaxed geometry, as listed in Alexandria.

Computed properties:
* SG: R-3m, No. 166
* formation energy (no corrections): -1.29 eV per atom

```
Li4PmU3Se8
1.0
-2.0584 3.5094 7.0401
-6.9554 -4.1306 0.0254
7.0860 -3.9318 -0.6639
Li Pm Se U
4 1 8 3
Cartesian
2.5138 -0.2112 3.1881 Li
0.0000 0.0000 0.0000 Li
3.5430 -1.9659 -0.3319 Li
-1.0292 1.7547 3.5200 Li
-3.4777 -2.0653 0.0127 Pm
-3.2438 -2.4830 4.9850 Se
-5.7839 -2.2630 1.8182 Se
3.8561 -2.2901 4.5835 Se
1.3159 -2.0700 1.4167 Se
0.2626 -0.2962 4.9201 Se
-6.7984 -0.5332 5.2882 Se
-2.1904 -4.2568 1.4815 Se
4.8706 -4.0198 1.1135 Se
-0.9639 -2.2765 3.2008 U
-4.5069 -0.3106 3.5327 U
0.0653 -4.0312 -0.3192 U
```

---

Calculated total magnetic moment (μB per cell), listed in the same order as above: 0.00 0.00 0.00 0.00 0.00 1.01 0.00 0.00 0.00 0.00 0.00 0.00 0.00 0.00 0.00 5.51 2.00 2.95 8.99
Calculated uncorrected energy (eV per atom), listed in the same order as above: -5.076 -5.697 -6.115 -6.017 -6.245 -5.143 -5.594 -5.062 -5.046 -5.041 -5.351 -5.442 -5.416 -5.616 -5.643 -5.968 -5.643 -5.355 -5.928
Calculated density of states at the Fermi level (states/eV/f.u.), listed in the same order as above: 0.000 1.414 10.061 4.424 8.641 5.567 4.941 0.000 0.000 0.000 2.794 0.000 2.476 4.467 7.750 7.081 6.184 7.085 14.770